! NaTcBr2 | Alexandria | PBE | relaxed; values from VASP
&SYSTEM
  ibrav = 0, nat = 4, ntyp = 3
/
ATOMIC_SPECIES
Tc 98.00 Tc.upf
Br 79.90 Br.upf
Na 22.99 Na.upf
CELL_PARAMETERS angstrom
0.0000 3.4346 3.4346
3.4346 0.0000 3.4346
3.4346 3.4346 0.0000
ATOMIC_POSITIONS crystal
Tc 0.5000 0.5000 0.5000
Br 0.2500 0.2500 0.2500
Br 0.7500 0.7500 0.7500
Na 0.0000 0.0000 0.0000
! - ΔE to the lowest computed polymorph: 264.0 meV/atom
! - Crystal system: cubic
! - SG: Fm-3m
! - Magnetic moment: 2.0 Bohr magnetons per cell
! - Formation energy without anion corrections: 0.194 eV/atom